NaPmSBr | PBE-GGA | relaxed

crystal system	trigonal
uncorrected energy	-4.493	eV/atom
mass density	4.47	g/cm³
formation energy from raw total energies	-1.5251	eV/atom

```
4
Lattice="3.993 0.000 -0.001 -1.996 3.458 0.000 -1.997 -1.154 7.527" Properties=species:S:1:pos:R:3 pbc="T T T"
Na 0.377 -0.255 4.988
Pm -1.619 3.206 0.628
S -1.619 0.899 6.546
Br 2.373 0.900 2.661
```